[1]
A plane-wave DFT calculation with PBE-GGA was carried out for a geometry-optimized CaY2Au2 structure. Values from VASP.

Calculated values
* V: 143.1 Å³/f.u.
* D(E_F): 1.7 states/eV/f.u.
* ΔE to the lowest computed polymorph: 135 meV/atom
* energy relative to the elements: -568 meV per atom
* total moment: 0.00 μB/f.u.
* total energy: -24.33 eV/cell

```
&SYSTEM
  ibrav = 0, nat = 5, ntyp = 3
/
ATOMIC_SPECIES
Y 88.91 Y.upf
Ca 40.08 Ca.upf
Au 196.97 Au.upf
CELL_PARAMETERS angstrom
-0.652 3.764 -3.132
1.327 -2.905 -3.768
-5.257 -1.160 -4.195
ATOMIC_POSITIONS crystal
Y 0.750 0.250 0.500
Y 0.250 0.750 0.500
Ca 0.000 0.000 0.000
Au 0.385 0.385 0.231
Au 0.615 0.615 0.769
```



[2]
A plane-wave DFT calculation with PBE-GGA was carried out for a geometry-optimized Ca2YAu6 structure. Values from VASP.

Calculated values
* V: 195.7 Å³/f.u.
* D(E_F): 3.2 states/eV/f.u.
* energy relative to the elements: -688 meV per atom
* total moment: 0.00 μB/f.u.
* total energy: -36.33 eV/cell

```
&SYSTEM
  ibrav = 0, nat = 9, ntyp = 3
/
ATOMIC_SPECIES
Ca 40.08 Ca.upf
Y 88.91 Y.upf
Au 196.97 Au.upf
CELL_PARAMETERS angstrom
5.269 0.095 0.834
2.355 4.423 1.740
0.023 -0.149 8.435
ATOMIC_POSITIONS crystal
Ca 0.500 0.833 0.833
Ca 0.500 0.167 0.167
Y 0.000 0.000 0.500
Au 0.160 0.836 0.170
Au 0.840 0.494 0.170
Au 0.840 0.164 0.830
Au 0.160 0.506 0.830
Au 0.331 0.328 0.500
Au 0.669 0.672 0.500
```